No. 1
Entry from the Alexandria database: a relaxed BaOs2Pt crystal (PBE).

Values from the calculation:
Energy above the lowest structure with this stoichiometry: 1134.1 meV per atom
E: -6.351 eV per atom
Energy relative to the elements: 1.25 eV/atom
Crystal system: tetragonal
Symmetry: P4/mmm
Magnetization: 0.000 μB/atom

a b c (Å): 4.768 4.079 4.079
angles (deg): 90.00 90.00 90.00
Fractional positions:
1 Os 0.000 0.000 0.000
2 Os 0.000 0.500 0.500
3 Ba 0.500 0.000 0.500
4 Pt 0.500 0.500 0.000


No. 2
Entry from the Alexandria database: a relaxed BaOsPt2 crystal (PBE).

Values from the calculation:
Energy above the lowest structure with this stoichiometry: 572.6 meV per atom
E: -5.909 eV per atom
Energy relative to the elements: 0.40 eV/atom
Crystal system: tetragonal
Symmetry: P4mm
Magnetization: 0.000 μB/atom

a b c (Å): 3.280 3.280 7.760
angles (deg): 90.00 90.00 90.00
Fractional positions:
1 Os 0.500 0.500 0.827
2 Ba 0.000 0.000 0.496
3 Pt 0.000 0.000 0.988
4 Pt 0.500 0.500 0.189


No. 3
Entry from the Alexandria database: a relaxed BaOsPt3 crystal (PBE).

Values from the calculation:
Energy above the lowest structure with this stoichiometry: 0.0 meV per atom
E: -6.010 eV per atom
Energy relative to the elements: 0.25 eV/atom
Crystal system: cubic
Symmetry: Pm-3m
Magnetization: 0.000 μB/atom

a b c (Å): 4.961 4.961 4.961
angles (deg): 90.00 90.00 90.00
Fractional positions:
1 Os 0.000 0.000 0.000
2 Ba 0.500 0.500 0.500
3 Pt 0.000 0.500 0.000
4 Pt 0.000 0.000 0.500
5 Pt 0.500 0.000 0.000


No. 4
Entry from the Alexandria database: a relaxed BaOs2Pt crystal (PBE).

Values from the calculation:
Energy above the lowest structure with this stoichiometry: 355.7 meV per atom
E: -7.129 eV per atom
Energy relative to the elements: 0.48 eV/atom
Crystal system: tetragonal
Symmetry: P4mm
Magnetization: 0.000 μB/atom

a b c (Å): 3.010 3.010 8.610
angles (deg): 90.00 90.00 90.00
Fractional positions:
1 Os 0.000 0.000 0.064
2 Os 0.500 0.500 0.236
3 Ba 0.500 0.500 0.751
4 Pt 0.000 0.000 0.449


Q: Look up the energy above the lowest structure with this stoichiometry of the third one.
A: 0.0 meV per atom